[1]
Computed, not measured: crystalline CePr2SmSb4 at its relaxed geometry at the PBE level of DFT.

Cell and atoms, written as POSCAR:
```
CePr2SmSb4
1.0
-3.157 -1.432 2.896
5.597 -2.615 4.808
-1.712 7.425 1.805
Sb Pr Ce Sm
4 2 1 1
Direct
0.000 0.252 0.756
0.500 0.751 0.756
0.500 0.249 0.244
0.000 0.748 0.244
0.000 0.500 0.500
0.500 0.000 0.500
0.500 0.500 0.000
0.000 0.000 0.000
```

Values from the calculation:
final energy	-45.9	eV for the cell shown
M_tot	0.7	μB per formula unit
space-group type	No. 10
raw formation energy	-1154	meV/atom


[2]
Computed, not measured: crystalline Ce3Pr2SmSb6 at its relaxed geometry at the PBE level of DFT.

Cell and atoms, written as POSCAR:
```
Ce3Pr2SmSb6
1.0
7.819 -0.001 0.001
-3.908 6.772 0.001
-1.304 -2.259 7.375
Ce Pr Sb Sm
3 2 6 1
Direct
0.832 0.168 0.500
0.168 0.832 0.500
0.500 0.500 0.500
0.666 0.334 0.000
0.334 0.666 0.000
0.084 0.415 0.253
0.755 0.755 0.254
0.245 0.245 0.746
0.585 0.916 0.747
0.916 0.585 0.747
0.415 0.084 0.253
0.000 0.000 0.000
```

Values from the calculation:
final energy	-70.2	eV for the cell shown
M_tot	2.3	μB per formula unit
space-group type	No. 12
raw formation energy	-1119	meV/atom